{
  "formula": "CsZrI3",
  "functional": "PBE",
  "state": "optimized geometry",
  "lattice_angstrom": [[4.3884, -2.5337, 0.0000], [0.0000, 5.0673, 0.0000], [0.0000, 0.0000, 21.4282]],
  "species": ["Cs", "Cs", "I", "I", "I", "I", "I", "I", "Zr", "Zr"],
  "fractional_positions": [[0.0000, 0.0000, 0.0000], [0.0000, 0.0000, 0.5000], [0.0000, 0.0000, 0.2500], [0.0000, 0.0000, 0.7500], [0.3333, 0.6667, 0.8876], [0.3333, 0.6667, 0.6124], [0.6667, 0.3333, 0.3876], [0.6667, 0.3333, 0.1124], [0.3333, 0.6667, 0.7500], [0.6667, 0.3333, 0.2500]],
  "raw_formation_energy_ev_per_atom": -0.778,
  "e_above_lowest_polymorph_mev_per_atom": 259,
  "crystal_system": "hexagonal"
}